Here is CsMoO2 after structural relaxation from the Alexandria database. Energies are from PBE+U.

```
CsMoO2
1.0
2.1458 0.0000 7.6535
-1.0729 1.8583 7.6535
-1.0729 -1.8583 7.6535
Cs Mo O
1 1 2
direct
0.5000 0.5000 0.5000
0.0000 0.0000 0.0000
0.0794 0.0794 0.0794
0.9206 0.9206 0.9206
```

Properties
excess energy over the best structure of this formula in the dataset: 1.22 eV/f.u.
calculated volume: 22.89 Å³/atom